Entry w
# CsRbIn4 PBE-GGA optimized geometry
# Total magnetization (Bohr magnetons per cell): 0.00
data_CsRbIn4
_cell_length_a 9.445
_cell_length_b 9.445
_cell_length_c 9.445
_cell_angle_alpha 90.00
_cell_angle_beta 90.00
_cell_angle_gamma 90.00
_symmetry_space_group_name_H-M 'F -4 3 m'
_symmetry_Int_Tables_number 216
_symmetry_space_group_name_Hall 'F -4 2 3'
loop_
_atom_site_label
_atom_site_type_symbol
_atom_site_fract_x
_atom_site_fract_y
_atom_site_fract_z
Cs1 Cs 0.000 0.000 0.000
Rb1 Rb 0.250 0.250 0.750
In1 In 0.125 0.125 0.375

***

Entry x
# CsRbIn4 PBE-GGA optimized geometry
# Total magnetization (Bohr magnetons per cell): 0.00
data_CsRbIn4
_cell_length_a 14.524
_cell_length_b 6.331
_cell_length_c 5.825
_cell_angle_alpha 90.00
_cell_angle_beta 113.40
_cell_angle_gamma 90.00
_symmetry_space_group_name_H-M 'C 1 m 1'
_symmetry_Int_Tables_number 8
loop_
_symmetry_equiv_pos_as_xyz
'x,y,z'
'x,-y,z'
'x+1/2,y+1/2,z'
'x+1/2,-y+1/2,z'
loop_
_atom_site_label
_atom_site_type_symbol
_atom_site_fract_x
_atom_site_fract_y
_atom_site_fract_z
Cs1 Cs 0.000 0.000 0.000
Rb1 Rb 0.291 0.500 0.290
In1 In 0.146 0.256 0.646
In2 In 0.336 0.000 0.838
In3 In 0.451 0.000 0.450

***

Least stable structure: entry x